Entry 1:
Pm6SmHo2Er: relaxed, GGA-PBE.

Summary:
M_tot: 0.00 μB/cell
ΔH_f (0 K): 0.116 eV per atom

```
data_Pm6SmHo2Er
_chemical_formula_sum 'Pm12 Sm2 Ho4 Er2'
_cell_length_a 9.6132
_cell_length_b 8.9140
_cell_length_c 8.9140
_cell_angle_alpha 117.56
_cell_angle_beta 93.66
_cell_angle_gamma 93.66
_symmetry_space_group_name_H-M 'P 1'
_symmetry_Int_Tables_number 1
loop_
_symmetry_equiv_pos_as_xyz
'x,y,z'
loop_
_atom_site_label
_atom_site_fract_x
_atom_site_fract_y
_atom_site_fract_z
_atom_site_occupancy
Pm1 0.9451 0.8818 0.2407 1
Pm2 0.5549 0.7593 0.1182 1
Pm3 0.3138 0.9898 0.4367 1
Pm4 0.3820 0.5112 0.2921 1
Pm5 0.6180 0.4888 0.7079 1
Pm6 0.6862 0.0102 0.5633 1
Pm7 0.1862 0.5633 0.0102 1
Pm8 0.0549 0.1182 0.7593 1
Pm9 0.4451 0.2407 0.8818 1
Pm10 0.1180 0.7079 0.4888 1
Pm11 0.8820 0.2921 0.5112 1
Pm12 0.8138 0.4367 0.9898 1
Er1 0.2500 0.4110 0.5890 1
Er2 0.7500 0.5890 0.4110 1
Ho1 0.9533 0.6985 0.7980 1
Ho2 0.0467 0.3015 0.2020 1
Ho3 0.4533 0.7980 0.6985 1
Ho4 0.5467 0.2020 0.3015 1
Sm1 0.7500 0.0275 0.9725 1
Sm2 0.2500 0.9725 0.0275 1
```

Entry 2:
Pm2SmHo4Er2: relaxed, GGA-PBE.

Summary:
M_tot: 0.00 μB/cell
ΔH_f (0 K): 0.083 eV per atom

```
data_Pm2SmHo4Er2
_chemical_formula_sum 'Pm2 Sm1 Ho4 Er2'
_cell_length_a 6.7833
_cell_length_b 9.8648
_cell_length_c 6.6149
_cell_angle_alpha 121.22
_cell_angle_beta 126.82
_cell_angle_gamma 59.21
_symmetry_space_group_name_H-M 'P 1'
_symmetry_Int_Tables_number 1
loop_
_symmetry_equiv_pos_as_xyz
'x,y,z'
loop_
_atom_site_label
_atom_site_fract_x
_atom_site_fract_y
_atom_site_fract_z
_atom_site_occupancy
Ho1 0.6199 0.7595 0.5077 1
Ho2 0.7379 0.8847 0.2010 1
Ho3 0.2621 0.1153 0.7990 1
Ho4 0.3801 0.2405 0.4923 1
Pm1 0.2697 0.6575 0.5998 1
Pm2 0.7303 0.3425 0.4002 1
Er1 0.8196 0.4454 0.0352 1
Er2 0.1804 0.5546 0.9648 1
Sm1 0.0000 0.0000 0.0000 1
```

Entry 3:
PmSm2Ho2Er2: relaxed, GGA-PBE.

Summary:
M_tot: 0.00 μB/cell
ΔH_f (0 K): 0.145 eV per atom

```
data_PmSm2Ho2Er2
_chemical_formula_sum 'Pm1 Sm2 Ho2 Er2'
_cell_length_a 3.4909
_cell_length_b 8.9926
_cell_length_c 8.4452
_cell_angle_alpha 116.61
_cell_angle_beta 90.00
_cell_angle_gamma 101.19
_symmetry_space_group_name_H-M 'P 1'
_symmetry_Int_Tables_number 1
loop_
_symmetry_equiv_pos_as_xyz
'x,y,z'
loop_
_atom_site_label
_atom_site_fract_x
_atom_site_fract_y
_atom_site_fract_z
_atom_site_occupancy
Pm1 0.0000 0.0000 0.5000 1
Er1 0.3500 0.6999 0.6073 1
Er2 0.6500 0.3001 0.3927 1
Sm1 0.4281 0.8563 0.0894 1
Sm2 0.5719 0.1437 0.9106 1
Ho1 0.2121 0.4242 0.7961 1
Ho2 0.7879 0.5758 0.2039 1
```